The following is a DFT calculation (PBE-GGA) of an optimized crystal structure of MnBiSb2.

```
MnBiSb2
1.0
-0.929 -3.213 -1.073
0.906 -1.111 -3.207
8.390 -5.083 2.207
Sb Mn Bi
2 1 1
direct
0.892 0.892 0.324 Sb
0.108 0.108 0.676 Sb
0.500 0.500 0.500 Mn
0.000 0.000 0.000 Bi
```

Summary:
ΔE_f (raw)	93	meV per atom
SG	R-3m, No. 166
calculated total energy	-5.2308	eV per atom
density of states at the Fermi level	0.528	states/eV per atom